A geometry-optimized Ce3Ga2Co2N3 structure, computed with GGA-PBE.

Summary:
The value obtained for the uncorrected formation energy is -918 kJ/mol of formula units. Its symmetry is I4/mmm (139). The uncorrected energy comes out at -7.26 eV/atom.

```
Ce3Ga2Co2N3
1.0
-1.816 1.816 11.615
1.816 -1.816 11.615
1.816 1.816 -11.615
Ce Ga Co N
3 2 2 3
Direct
0.000 0.000 0.000
0.389 0.389 0.000
0.611 0.611 0.000
0.250 0.750 0.500
0.750 0.250 0.500
0.178 0.178 0.000
0.822 0.822 0.000
0.100 0.100 0.000
0.500 0.500 0.000
0.900 0.900 0.000
```